Density functional theory data (PBE-GGA) for a relaxed structure of Na2SrZrSi.

a = 5.7315 Å, b = 6.2362 Å, c = 5.7315 Å
α = 90.00°, β = 90.00°, γ = 90.00°
Last column: nearest neighbours and their distance in Å.
Sites, in units of the cell vectors:
1 Na 0.5000 0.0000 0.0000  2 Zr 2.87
2 Na 0.0000 0.0000 0.5000  2 Zr 2.87
3 Zr 0.0000 0.0000 0.0000  4 Na 2.87, 2 Sr 3.12
4 Si 0.5000 0.5000 0.5000  4 Sr 4.05, 8 Na 4.23
5 Sr 0.0000 0.5000 0.0000  2 Zr 3.12

Calculated values
The mass density is 2.050 g/cm³. The value obtained for the energy relative to the elements, uncorrected is 1.42 eV/atom.



Density functional theory data (PBE-GGA) for a relaxed structure of TaHg2Sb.

a = 5.5225 Å, b = 5.5225 Å, c = 5.5245 Å
α = 134.12°, β = 134.11°, γ = 66.88°
Last column: nearest neighbours and their distance in Å.
Sites, in units of the cell vectors:
1 Hg 0.0001 0.0001 0.0000  4 Sb 3.04-3.05, 4 Hg 3.15, 4 Ta 3.15
2 Hg 0.7500 0.2500 0.5000  4 Ta 3.04-3.05, 4 Hg 3.15, 4 Sb 3.15
3 Sb 0.4999 0.4999 0.0000  8 Hg 3.04-3.15, 4 Ta 3.15
4 Ta 0.2500 0.7500 0.5000  8 Hg 3.04-3.15, 4 Sb 3.15

Calculated values
The mass density is 13.678 g/cm³. The value obtained for the energy relative to the elements, uncorrected is 0.43 eV/atom.



Density functional theory data (PBE-GGA) for a relaxed structure of DyP4Ru4.

a = 5.9809 Å, b = 5.9809 Å, c = 7.6425 Å
α = 90.00°, β = 90.00°, γ = 90.00°
Last column: nearest neighbours and their distance in Å.
Sites, in units of the cell vectors:
1 P 0.7138 0.0000 0.3163  5 Ru 2.33-2.41, 1 P 2.56
2 P 0.5000 0.7862 0.8163  5 Ru 2.33-2.41, 1 P 2.56
3 P 0.5000 0.2138 0.8163  5 Ru 2.33-2.41, 1 P 2.56
4 P 0.2138 0.5000 0.1837  5 Ru 2.33-2.41, 1 P 2.56
5 P 0.0000 0.7138 0.6837  5 Ru 2.33-2.41, 1 P 2.56
6 P 0.7862 0.5000 0.1837  5 Ru 2.33-2.41, 1 P 2.56
7 P 0.2862 0.0000 0.3163  5 Ru 2.33-2.41, 1 P 2.56
8 P 0.0000 0.2862 0.6837  5 Ru 2.33-2.41, 1 P 2.56
9 Ru 0.0000 0.7278 0.3791  5 P 2.33-2.41
10 Ru 0.7722 0.5000 0.8791  5 P 2.33-2.41
11 Ru 0.2278 0.5000 0.8791  5 P 2.33-2.41
12 Ru 0.7278 0.0000 0.6209  5 P 2.33-2.41
13 Ru 0.5000 0.2278 0.1209  5 P 2.33-2.41
14 Ru 0.0000 0.2722 0.3791  5 P 2.33-2.41
15 Ru 0.5000 0.7722 0.1209  5 P 2.33-2.41
16 Ru 0.2722 0.0000 0.6209  5 P 2.33-2.41
17 Dy 0.5000 0.5000 0.5000  4 P 2.96
18 Dy 0.0000 0.0000 0.0000  4 P 2.96

Calculated values
The mass density is 8.391 g/cm³. The formation enthalpy at 0 K is -0.6216 eV per atom.



Question: Look up the mass density of the third one.
Answer: 8.391 g/cm³